Computed, not measured: a relaxed structure of CsBaSe2Br at the PBE-GGA level of DFT.

Cell: 6.3275 6.3275 6.3765 Å, 90.00 90.00 90.00°
Space group P4/mmm (No. 123)
One atom of each set of equivalent atoms:
1 Cs 0.0000 0.0000 0.0000 [1 per cell]
2 Ba 0.5000 0.5000 0.5000 [1 per cell]
3 Se 0.0000 0.5000 0.5000 [2 per cell]
4 Br 0.5000 0.5000 0.0000 [1 per cell]

E_form (uncorrected)	-1001	meV/atom
size of the total moment	2.03	Bohr magnetons per cell